Entry 1:
{
  "formula": "Hf2BeO4",
  "functional": "PBE",
  "state": "optimized geometry",
  "e_tot_ev_per_atom": -8.982,
  "magmom_total_mub_per_fu": 0.00,
  "cell": [[0.000, 4.197, 4.197], [4.197, 0.000, 4.197], [4.197, 4.197, 0.000]],
  "species": ["Hf", "Hf", "Hf", "Hf", "Be", "Be", "O", "O", "O", "O", "O", "O", "O", "O"],
  "fractional_positions": [[0.000, 0.000, 0.000], [0.000, 0.000, 0.500], [0.000, 0.500, 0.000], [0.500, 0.000, 0.000], [0.375, 0.375, 0.375], [0.625, 0.625, 0.625], [0.260, 0.260, 0.260], [0.260, 0.260, 0.721], [0.260, 0.721, 0.260], [0.279, 0.740, 0.740], [0.721, 0.260, 0.260], [0.740, 0.279, 0.740], [0.740, 0.740, 0.279], [0.740, 0.740, 0.740]]
}


Entry 2:
{
  "formula": "RbReTe2AuS",
  "functional": "PBE",
  "state": "optimized geometry",
  "e_tot_ev_per_atom": -4.486,
  "magmom_total_mub_per_fu": 2.56,
  "cell": [[2.018, -8.321, 0.000], [2.018, 8.321, 0.000], [0.000, 0.000, 10.123]],
  "species": ["Rb", "Rb", "Re", "Re", "Te", "Te", "Te", "Te", "Au", "Au", "S", "S"],
  "fractional_positions": [[0.237, 0.763, 0.750], [0.763, 0.237, 0.250], [0.000, 0.000, 0.000], [0.000, 0.000, 0.500], [0.385, 0.615, 0.010], [0.385, 0.615, 0.490], [0.615, 0.385, 0.510], [0.615, 0.385, 0.990], [0.451, 0.549, 0.250], [0.549, 0.451, 0.750], [0.045, 0.955, 0.250], [0.955, 0.045, 0.750]]
}